[1]
# Li5Mg5Ga2, relaxed, DFT PBE
# **Energy of formation from the pure elements**: -140 meV per atom
# **SG**: C2/m (12)
data_Li5Mg5Ga2
_chemical_formula_sum 'Li5 Mg5 Ga2'
_cell_length_a 7.508
_cell_length_b 7.508
_cell_length_c 8.350
_cell_angle_alpha 123.65
_cell_angle_beta 123.65
_cell_angle_gamma 36.50
_space_group_name_H-M_alt 'P 1'
_space_group_IT_number 1
_space_group_name_Hall 'P 1'
loop_
_atom_site_label
_atom_site_fract_x
_atom_site_fract_y
_atom_site_fract_z
_atom_site_occupancy
Li1 0.000 0.000 0.000 1
Li2 0.069 0.069 0.391 1
Li3 0.245 0.245 0.211 1
Li4 0.755 0.755 0.789 1
Li5 0.931 0.931 0.609 1
Mg1 0.319 0.319 0.648 1
Mg2 0.402 0.402 0.075 1
Mg3 0.500 0.500 0.500 1
Mg4 0.598 0.598 0.925 1
Mg5 0.681 0.681 0.352 1
Ga1 0.154 0.154 0.786 1
Ga2 0.846 0.846 0.214 1



[2]
# YThMg17, relaxed, DFT PBE
# **Energy of formation from the pure elements**: -5 meV per atom
# **SG**: R3m (160)
data_YThMg17
_chemical_formula_sum 'Y1 Th1 Mg17'
_cell_length_a 7.769
_cell_length_b 7.769
_cell_length_c 7.769
_cell_angle_alpha 82.19
_cell_angle_beta 82.19
_cell_angle_gamma 82.19
_space_group_name_H-M_alt 'P 1'
_space_group_IT_number 1
_space_group_name_Hall 'P 1'
loop_
_atom_site_label
_atom_site_fract_x
_atom_site_fract_y
_atom_site_fract_z
_atom_site_occupancy
Y1 0.000 0.000 0.000 1
Th1 0.660 0.660 0.660 1
Mg1 0.026 0.329 0.634 1
Mg2 0.026 0.634 0.329 1
Mg3 0.163 0.684 0.684 1
Mg4 0.230 0.230 0.230 1
Mg5 0.329 0.026 0.634 1
Mg6 0.329 0.634 0.026 1
Mg7 0.335 0.335 0.825 1
Mg8 0.335 0.825 0.335 1
Mg9 0.428 0.428 0.428 1
Mg10 0.485 0.978 0.978 1
Mg11 0.634 0.026 0.329 1
Mg12 0.634 0.329 0.026 1
Mg13 0.684 0.163 0.684 1
Mg14 0.684 0.684 0.163 1
Mg15 0.825 0.335 0.335 1
Mg16 0.978 0.485 0.978 1
Mg17 0.978 0.978 0.485 1



[3]
# SbH, relaxed, DFT PBE
# **SG**: Fddd (70)
# **Relative energy among the computed polymorphs**: 9.110 kcal/mol of atoms
data_SbH
_chemical_formula_sum 'Sb4 H4'
_cell_length_a 8.098
_cell_length_b 6.429
_cell_length_c 6.169
_cell_angle_alpha 79.98
_cell_angle_beta 51.42
_cell_angle_gamma 48.60
_space_group_name_H-M_alt 'P 1'
_space_group_IT_number 1
_space_group_name_Hall 'P 1'
loop_
_atom_site_label
_atom_site_fract_x
_atom_site_fract_y
_atom_site_fract_z
_atom_site_occupancy
Sb1 0.003 0.003 0.747 1
Sb2 0.253 0.253 0.997 1
Sb3 0.747 0.747 0.003 1
Sb4 0.997 0.997 0.253 1
H1 0.163 0.587 0.163 1
H2 0.413 0.837 0.413 1
H3 0.587 0.163 0.587 1
H4 0.837 0.413 0.837 1



[4]
# KCaSn4, relaxed, DFT PBE
# **Energy of formation from the pure elements**: -250 meV per atom
# **SG**: F-43m (216)
# **Relative energy among the computed polymorphs**: 1.757 kcal/mol of atoms
data_KCaSn4
_chemical_formula_sum 'K1 Ca1 Sn4'
_cell_length_a 6.382
_cell_length_b 6.382
_cell_length_c 6.382
_cell_angle_alpha 60.00
_cell_angle_beta 60.00
_cell_angle_gamma 60.00
_space_group_name_H-M_alt 'P 1'
_space_group_IT_number 1
_space_group_name_Hall 'P 1'
loop_
_atom_site_label
_atom_site_fract_x
_atom_site_fract_y
_atom_site_fract_z
_atom_site_occupancy
K1 0.000 0.000 0.000 1
Ca1 0.750 0.750 0.750 1
Sn1 0.375 0.375 0.375 1
Sn2 0.375 0.375 0.874 1
Sn3 0.375 0.874 0.375 1
Sn4 0.874 0.375 0.375 1



[5]
# TaTi2Pb, relaxed, DFT PBE
# **Energy of formation from the pure elements**: 23 meV per atom
# **SG**: P4/mmm (123)
data_TaTi2Pb
_chemical_formula_sum 'Ta1 Ti2 Pb1'
_cell_length_a 4.522
_cell_length_b 4.522
_cell_length_c 3.625
_cell_angle_alpha 90.00
_cell_angle_beta 90.00
_cell_angle_gamma 90.00
_space_group_name_H-M_alt 'P 1'
_space_group_IT_number 1
_space_group_name_Hall 'P 1'
loop_
_atom_site_label
_atom_site_fract_x
_atom_site_fract_y
_atom_site_fract_z
_atom_site_occupancy
Ta1 0.000 0.000 0.000 1
Ti1 0.000 0.500 0.500 1
Ti2 0.500 0.000 0.500 1
Pb1 0.500 0.500 0.000 1



[6]
# PmPaCo3, relaxed, DFT PBE
# **Energy of formation from the pure elements**: -248 meV per atom
# **SG**: Cmcm (63)
data_PmPaCo3
_chemical_formula_sum 'Pm2 Pa2 Co6'
_cell_length_a 11.409
_cell_length_b 11.409
_cell_length_c 4.101
_cell_angle_alpha 90.00
_cell_angle_beta 90.00
_cell_angle_gamma 160.28
_space_group_name_H-M_alt 'P 1'
_space_group_IT_number 1
_space_group_name_Hall 'P 1'
loop_
_atom_site_label
_atom_site_fract_x
_atom_site_fract_y
_atom_site_fract_z
_atom_site_occupancy
Pm1 0.071 0.929 0.750 1
Pm2 0.929 0.071 0.250 1
Pa1 0.203 0.797 0.250 1
Pa2 0.797 0.203 0.750 1
Co1 0.310 0.690 0.250 1
Co2 0.371 0.629 0.750 1
Co3 0.475 0.525 0.750 1
Co4 0.525 0.475 0.250 1
Co5 0.629 0.371 0.250 1
Co6 0.690 0.310 0.750 1



Number 1: calculated volume 18.9 Å³ per atom, final energy -25.27 eV per cell. Number 2: calculated volume 24.1 Å³ per atom, final energy -41.08 eV per cell. Number 3: calculated volume 21.5 Å³ per atom, final energy -26.50 eV per cell. Number 4: calculated volume 30.6 Å³ per atom, final energy -20.61 eV per cell. Number 5: calculated volume 18.5 Å³ per atom, final energy -31.26 eV per cell. Number 6: calculated volume 18.0 Å³ per atom, final energy -73.61 eV per cell.